(1)
First-principles (PBE) data for crystalline Sn2HgBi at its relaxed geometry, as listed in the Open Quantum Materials Database.

Summary:
VASP energy, eV/cell: -11.978
Crystal system: cubic
Space group: No. 216

Lattice parameters (Å, degrees): 5.391 5.391 5.391 60.00 60.00 60.00
Element x y z (fractional)
Bi  0.250  0.250  0.250
Hg  0.500  0.500  0.500
Sn  0.000  0.000  0.000
Sn  0.750  0.750  0.750

***

(2)
First-principles (PBE) data for crystalline SnHgBi2 at its relaxed geometry, as listed in the Open Quantum Materials Database.

Summary:
VASP energy, eV/cell: -12.002
Crystal system: cubic
Space group: No. 216

Lattice parameters (Å, degrees): 5.477 5.477 5.477 60.00 60.00 60.00
Element x y z (fractional)
Bi  0.000  0.000  0.000
Bi  0.750  0.750  0.750
Hg  0.500  0.500  0.500
Sn  0.250  0.250  0.250

***

(3)
First-principles (PBE) data for crystalline SrHgBi at its relaxed geometry, as listed in the Open Quantum Materials Database.

Summary:
VASP energy, eV/cell: -7.518
Crystal system: cubic
Space group: No. 216

Lattice parameters (Å, degrees): 5.269 5.269 5.269 60.00 60.00 60.00
Element x y z (fractional)
Bi  0.250  0.250  0.250
Hg  0.000  0.000  0.000
Sr  0.750  0.750  0.750

***

(4)
First-principles (PBE) data for crystalline SrHg2Bi at its relaxed geometry, as listed in the Open Quantum Materials Database.

Summary:
VASP energy, eV/cell: -7.881
Crystal system: cubic
Space group: No. 216

Lattice parameters (Å, degrees): 5.532 5.532 5.532 60.00 60.00 60.00
Element x y z (fractional)
Bi  0.500  0.500  0.500
Hg  0.000  0.000  0.000
Hg  0.750  0.750  0.750
Sr  0.250  0.250  0.250

***

(5)
First-principles (PBE) data for crystalline SrHgBi at its relaxed geometry, as listed in the Open Quantum Materials Database.

Summary:
VASP energy, eV/cell: -6.953
Crystal system: cubic
Space group: No. 216

Lattice parameters (Å, degrees): 5.401 5.401 5.401 60.00 60.00 60.00
Element x y z (fractional)
Bi  0.250  0.250  0.250
Hg  0.750  0.750  0.750
Sr  0.000  0.000  0.000

***

(6)
First-principles (PBE) data for crystalline Sr2HgBi at its relaxed geometry, as listed in the Open Quantum Materials Database.

Summary:
VASP energy, eV/cell: -9.051
Crystal system: cubic
Space group: No. 216

Lattice parameters (Å, degrees): 5.805 5.805 5.805 60.00 60.00 60.00
Element x y z (fractional)
Bi  0.500  0.500  0.500
Hg  0.250  0.250  0.250
Sr  0.000  0.000  0.000
Sr  0.750  0.750  0.750

***

(7)
First-principles (PBE) data for crystalline Sr2Hg2Bi at its relaxed geometry, as listed in the Open Quantum Materials Database.

Summary:
VASP energy, eV/cell: -9.809
Crystal system: tetragonal
Space group: No. 139

Lattice parameters (Å, degrees): 5.892 5.892 6.638 116.35 116.35 90.00
Element x y z (fractional)
Bi  0.000  0.000  0.000
Hg  0.633  0.633  0.265
Hg  0.367  0.367  0.735
Sr  0.750  0.250  0.500
Sr  0.250  0.750  0.500

***

(8)
First-principles (PBE) data for crystalline Sr2HgBi2 at its relaxed geometry, as listed in the Open Quantum Materials Database.

Summary:
VASP energy, eV/cell: -13.760
Crystal system: tetragonal
Space group: No. 139

Lattice parameters (Å, degrees): 4.584 4.584 9.183 104.45 104.45 90.00
Element x y z (fractional)
Bi  0.750  0.250  0.500
Bi  0.250  0.750  0.500
Hg  0.000  0.000  0.000
Sr  0.603  0.603  0.206
Sr  0.397  0.397  0.794

***

(9)
First-principles (PBE) data for crystalline SrHg2Bi at its relaxed geometry, as listed in the Open Quantum Materials Database.

Summary:
VASP energy, eV/cell: -7.878
Crystal system: cubic
Space group: No. 216

Lattice parameters (Å, degrees): 5.527 5.527 5.527 60.00 60.00 60.00
Element x y z (fractional)
Bi  0.250  0.250  0.250
Hg  0.000  0.000  0.000
Hg  0.750  0.750  0.750
Sr  0.500  0.500  0.500

***

(10)
First-principles (PBE) data for crystalline SrHgBi2 at its relaxed geometry, as listed in the Open Quantum Materials Database.

Summary:
VASP energy, eV/cell: -11.452
Crystal system: cubic
Space group: No. 216

Lattice parameters (Å, degrees): 5.634 5.634 5.634 60.00 60.00 60.00
Element x y z (fractional)
Bi  0.000  0.000  0.000
Bi  0.750  0.750  0.750
Hg  0.250  0.250  0.250
Sr  0.500  0.500  0.500

***

(11)
First-principles (PBE) data for crystalline SrHgBi2 at its relaxed geometry, as listed in the Open Quantum Materials Database.

Summary:
VASP energy, eV/cell: -11.452
Crystal system: cubic
Space group: No. 216

Lattice parameters (Å, degrees): 5.634 5.634 5.634 60.00 60.00 60.00
Element x y z (fractional)
Bi  0.000  0.000  0.000
Bi  0.750  0.750  0.750
Hg  0.500  0.500  0.500
Sr  0.250  0.250  0.250

***

(12)
First-principles (PBE) data for crystalline TaHg2Bi at its relaxed geometry, as listed in the Open Quantum Materials Database.

Summary:
VASP energy, eV/cell: -13.551
Crystal system: cubic
Space group: No. 216

Lattice parameters (Å, degrees): 5.096 5.096 5.096 60.00 60.00 60.00
Last column: magnetic moment on the atom in μB.
Element x y z (fractional)
Bi  0.500  0.500  0.500  -0.01
Hg  0.000  0.000  0.000  0.00
Hg  0.750  0.750  0.750  -0.01
Ta  0.250  0.250  0.250  0.34

***

(13)
First-principles (PBE) data for crystalline TcHg2Bi at its relaxed geometry, as listed in the Open Quantum Materials Database.

Summary:
VASP energy, eV/cell: -12.062
Crystal system: cubic
Space group: No. 216

Lattice parameters (Å, degrees): 5.035 5.035 5.035 60.00 60.00 60.00
Last column: magnetic moment on the atom in μB.
Element x y z (fractional)
Bi  0.500  0.500  0.500  -0.09
Hg  0.000  0.000  0.000  0.00
Hg  0.750  0.750  0.750  0.01
Tc  0.250  0.250  0.250  1.83

***

(14)
First-principles (PBE) data for crystalline TcHgBi at its relaxed geometry, as listed in the Open Quantum Materials Database.

Summary:
VASP energy, eV/cell: -12.829
Crystal system: cubic
Space group: No. 216

Lattice parameters (Å, degrees): 4.647 4.647 4.647 60.00 60.00 60.00
Element x y z (fractional)
Bi  0.250  0.250  0.250
Hg  0.750  0.750  0.750
Tc  0.000  0.000  0.000

***

(15)
First-principles (PBE) data for crystalline HgBi2Te4 at its relaxed geometry, as listed in the Open Quantum Materials Database.

Summary:
VASP energy, eV/cell: -44.449
Crystal system: monoclinic
Space group: No. 12

Lattice parameters (Å, degrees): 8.164 8.164 15.858 117.01 117.01 31.99
Element x y z (fractional)
Bi  0.347  0.347  0.135
Bi  0.226  0.226  0.374
Bi  0.774  0.774  0.626
Bi  0.653  0.653  0.865
Hg  0.000  0.000  0.000
Hg  0.000  0.000  0.500
Te  0.685  0.685  0.066
Te  0.006  0.006  0.175
Te  0.842  0.842  0.323
Te  0.616  0.616  0.423
Te  0.384  0.384  0.577
Te  0.158  0.158  0.677
Te  0.994  0.994  0.825
Te  0.315  0.315  0.934

***

(16)
First-principles (PBE) data for crystalline Tl2HgBi at its relaxed geometry, as listed in the Open Quantum Materials Database.

Summary:
VASP energy, eV/cell: -9.087
Crystal system: cubic
Space group: No. 216

Lattice parameters (Å, degrees): 5.484 5.484 5.484 60.00 60.00 60.00
Element x y z (fractional)
Bi  0.500  0.500  0.500
Hg  0.250  0.250  0.250
Tl  0.000  0.000  0.000
Tl  0.750  0.750  0.750

***

(17)
First-principles (PBE) data for crystalline TlHgBi at its relaxed geometry, as listed in the Open Quantum Materials Database.

Summary:
VASP energy, eV/cell: -6.210
Crystal system: cubic
Space group: No. 216

Lattice parameters (Å, degrees): 5.212 5.212 5.212 60.00 60.00 60.00
Element x y z (fractional)
Bi  0.250  0.250  0.250
Hg  0.750  0.750  0.750
Tl  0.000  0.000  0.000

***

(18)
First-principles (PBE) data for crystalline UHgBi at its relaxed geometry, as listed in the Open Quantum Materials Database.

Summary:
VASP energy, eV/cell: -14.737
Crystal system: cubic
Space group: No. 216

Lattice parameters (Å, degrees): 5.199 5.199 5.199 60.00 60.00 60.00
Element x y z (fractional)
Bi  0.250  0.250  0.250
Hg  0.750  0.750  0.750
U  0.000  0.000  0.000

***

(19)
First-principles (PBE) data for crystalline UHgBi at its relaxed geometry, as listed in the Open Quantum Materials Database.

Summary:
VASP energy, eV/cell: -14.168
Crystal system: cubic
Space group: No. 216

Lattice parameters (Å, degrees): 5.116 5.116 5.116 60.00 60.00 60.00
Last column: magnetic moment on the atom in μB.
Element x y z (fractional)
Bi  0.000  0.000  0.000  -0.07
Hg  0.750  0.750  0.750  0.01
U  0.500  0.500  0.500  2.81

***

(20)
First-principles (PBE) data for crystalline Hg2BiW at its relaxed geometry, as listed in the Open Quantum Materials Database.

Summary:
VASP energy, eV/cell: -13.346
Crystal system: cubic
Space group: No. 216

Lattice parameters (Å, degrees): 5.051 5.051 5.051 60.00 60.00 60.00
Last column: magnetic moment on the atom in μB.
Element x y z (fractional)
Bi  0.500  0.500  0.500  -0.06
Hg  0.000  0.000  0.000  -0.01
Hg  0.750  0.750  0.750  0.00
W  0.250  0.250  0.250  1.09

***

(21)
First-principles (PBE) data for crystalline YHg2Bi at its relaxed geometry, as listed in the Open Quantum Materials Database.

Summary:
VASP energy, eV/cell: -12.074
Crystal system: cubic
Space group: No. 216

Lattice parameters (Å, degrees): 5.405 5.405 5.405 60.00 60.00 60.00
Element x y z (fractional)
Bi  0.500  0.500  0.500
Hg  0.000  0.000  0.000
Hg  0.750  0.750  0.750
Y  0.250  0.250  0.250

***

(22)
First-principles (PBE) data for crystalline YHgBi2 at its relaxed geometry, as listed in the Open Quantum Materials Database.

Summary:
VASP energy, eV/cell: -15.752
Crystal system: cubic
Space group: No. 216

Lattice parameters (Å, degrees): 5.458 5.458 5.458 60.00 60.00 60.00
Element x y z (fractional)
Bi  0.000  0.000  0.000
Bi  0.750  0.750  0.750
Hg  0.250  0.250  0.250
Y  0.500  0.500  0.500

***

(23)
First-principles (PBE) data for crystalline YHgBi at its relaxed geometry, as listed in the Open Quantum Materials Database.

Summary:
VASP energy, eV/cell: -11.580
Crystal system: cubic
Space group: No. 216

Lattice parameters (Å, degrees): 5.091 5.091 5.091 60.00 60.00 60.00
Element x y z (fractional)
Bi  0.250  0.250  0.250
Hg  0.000  0.000  0.000
Y  0.750  0.750  0.750

***

(24)
First-principles (PBE) data for crystalline YHgBi at its relaxed geometry, as listed in the Open Quantum Materials Database.

Summary:
VASP energy, eV/cell: -12.101
Crystal system: cubic
Space group: No. 216

Lattice parameters (Å, degrees): 5.185 5.185 5.185 60.00 60.00 60.00
Element x y z (fractional)
Bi  0.000  0.000  0.000
Hg  0.500  0.500  0.500
Y  0.250  0.250  0.250

***

(25)
First-principles (PBE) data for crystalline ZnHgBi at its relaxed geometry, as listed in the Open Quantum Materials Database.

Summary:
VASP energy, eV/cell: -4.946
Crystal system: cubic
Space group: No. 216

Lattice parameters (Å, degrees): 5.006 5.006 5.006 60.00 60.00 60.00
Element x y z (fractional)
Bi  0.000  0.000  0.000
Hg  0.250  0.250  0.250
Zn  0.750  0.750  0.750

***

(26)
First-principles (PBE) data for crystalline ZnHg2Bi at its relaxed geometry, as listed in the Open Quantum Materials Database.

Summary:
VASP energy, eV/cell: -5.232
Crystal system: cubic
Space group: No. 216

Lattice parameters (Å, degrees): 5.224 5.224 5.224 60.00 60.00 60.00
Element x y z (fractional)
Bi  0.500  0.500  0.500
Hg  0.000  0.000  0.000
Hg  0.750  0.750  0.750
Zn  0.250  0.250  0.250

***

(27)
First-principles (PBE) data for crystalline Zr2HgBi at its relaxed geometry, as listed in the Open Quantum Materials Database.

Summary:
VASP energy, eV/cell: -20.319
Crystal system: cubic
Space group: No. 216

Lattice parameters (Å, degrees): 5.205 5.205 5.205 60.00 60.00 60.00
Last column: magnetic moment on the atom in μB.
Element x y z (fractional)
Bi  0.500  0.500  0.500  -0.05
Hg  0.250  0.250  0.250  0.03
Zr  0.000  0.000  0.000  0.88
Zr  0.750  0.750  0.750  0.71

***

(28)
First-principles (PBE) data for crystalline Ho5Bi3 at its relaxed geometry, as listed in the Open Quantum Materials Database.

Summary:
VASP energy, eV/cell: -161.901
Crystal system: orthorhombic
Space group: No. 62

Lattice parameters (Å, degrees): 8.192 9.471 11.939 90.00 90.00 90.00
Element x y z (fractional)
Bi  0.595  0.750  0.042
Bi  0.066  0.004  0.174
Bi  0.066  0.496  0.174
Bi  0.566  0.004  0.326
Bi  0.566  0.496  0.326
Bi  0.095  0.750  0.458
Bi  0.905  0.250  0.542
Bi  0.434  0.504  0.674
Bi  0.434  0.996  0.674
Bi  0.934  0.504  0.826
Bi  0.934  0.996  0.826
Bi  0.405  0.250  0.958
Ho  0.977  0.750  0.011
Ho  0.692  0.064  0.059
Ho  0.692  0.436  0.059
Ho  0.354  0.250  0.216
Ho  0.315  0.750  0.219
Ho  0.815  0.750  0.281
Ho  0.854  0.250  0.284
Ho  0.192  0.064  0.441
Ho  0.192  0.436  0.441
Ho  0.477  0.750  0.489
Ho  0.523  0.250  0.511
Ho  0.808  0.564  0.559
Ho  0.808  0.936  0.559
Ho  0.146  0.750  0.716
Ho  0.185  0.250  0.719
Ho  0.685  0.250  0.781
Ho  0.646  0.750  0.784
Ho  0.308  0.564  0.941
Ho  0.308  0.936  0.941
Ho  0.023  0.250  0.989

***

(29)
First-principles (PBE) data for crystalline HoBi3 at its relaxed geometry, as listed in the Open Quantum Materials Database.

Summary:
VASP energy, eV/cell: -35.690
Crystal system: orthorhombic
Space group: No. 63

Lattice parameters (Å, degrees): 6.284 4.130 9.783 90.00 90.00 109.18
Element x y z (fractional)
Bi  0.261  0.130  0.017
Bi  0.862  0.431  0.250
Bi  0.261  0.130  0.483
Bi  0.739  0.870  0.517
Bi  0.138  0.569  0.750
Bi  0.739  0.870  0.983
Ho  0.424  0.712  0.250
Ho  0.576  0.288  0.750